The following is a meta-GGA SCAN calculation of a PBEsol-optimized structure of TlCuPb, from the Alexandria database.

The value obtained for the total energy is -54.185 eV/atom. The formation enthalpy at 0 K comes out at 0.261 eV per atom. Its density of states at the Fermi level is 2.7 states/eV/cell.

The space group is I4mm (No. 107) and the conventional cell measures 3.315, 3.315 and 12.267 Å, with angles of 90.00, 90.00 and 90.00 degrees. The inequivalent atoms are Tl at (0.000, 0.000, 0.000), Cu at (0.000, 0.000, 0.641) and Pb at (0.000, 0.000, 0.282).